Compound: Tl3FeF6
Source: Alexandria
Functional: PBE+U
Structure: optimized geometry Values from VASP.

```
&SYSTEM
  ibrav = 0, nat = 10, ntyp = 3
/
ATOMIC_SPECIES
Tl 204.38 Tl.upf
Fe 55.84 Fe.upf
F 19.00 F.upf
CELL_PARAMETERS angstrom
0.000 4.603 4.603
4.603 0.000 4.603
4.603 4.603 0.000
ATOMIC_POSITIONS angstrom
Tl 0.000 0.000 0.000
Tl 2.302 2.302 2.302
Tl 6.905 6.905 6.905
Fe 4.603 4.603 4.603
F 4.603 4.603 2.641
F 4.603 2.641 4.603
F 6.565 4.603 4.603
F 2.641 4.603 4.603
F 4.603 6.565 4.603
F 4.603 4.603 6.565
```

Its symmetry is No. 225. As for the calculated volume: 195 Å³/f.u. Its energy is -4.481 eV/atom.